Record 1
Tl5Hg5Bi2: optimized geometry, PBE.

Summary:
energy: -1.746 eV/atom
energy of formation: 1.17 kJ/mol of atoms
total magnetization: 0.000 μB/f.u.

Lattice parameters (Å, degrees): 4.8693 7.1509 11.4037 84.94 77.67 70.09
Fractional positions:
Tl 0.5000 0.5000 0.5000
Tl 0.6229 0.0210 0.7331
Tl 0.6462 0.6879 0.0197
Tl 0.3538 0.3121 0.9803
Tl 0.3771 0.9790 0.2669
Hg 0.7411 0.2859 0.2318
Hg 0.2589 0.7141 0.7682
Hg 0.8413 0.8477 0.4696
Hg 0.1587 0.1523 0.5304
Hg 0.0000 0.0000 0.0000
Bi 0.9107 0.4165 0.7622
Bi 0.0893 0.5835 0.2378

---

Record 2
Mg2PRh: optimized geometry, PBE.

Summary:
energy: -4.372 eV/atom
energy of formation: -37.05 kJ/mol of atoms
total magnetization: 0.000 μB/f.u.

Lattice parameters (Å, degrees): 4.9315 4.9315 4.9315 133.50 133.50 67.86
Fractional positions:
Mg 0.0000 0.0000 0.0000
Mg 0.2500 0.7500 0.5000
Rh 0.7500 0.2500 0.5000
P 0.5000 0.5000 0.0000

---

Record 3
BeCdRe2: optimized geometry, PBE.

Summary:
energy: -6.633 eV/atom
energy of formation: 72.45 kJ/mol of atoms
energy above the lowest structure with this stoichiometry: 592 meV per atom
total magnetization: 0.000 μB/f.u.

Lattice parameters (Å, degrees): 5.0758 5.0758 2.6916 90.00 90.00 118.60
Fractional positions:
Be 0.5000 0.0000 0.5000
Cd 0.0000 0.5000 0.5000
Re 0.0000 0.0000 0.0000
Re 0.5000 0.5000 0.0000

---

Record 4
BaSrH: optimized geometry, PBE.

Summary:
energy: -2.405 eV/atom
energy above the lowest structure with this stoichiometry: 142 meV per atom
total magnetization: 0.000 μB/f.u.

Lattice parameters (Å, degrees): 3.7973 7.2177 8.1249 84.44 76.49 74.75
Fractional positions:
Sr 0.9749 0.4060 0.6442
Sr 0.6094 0.8968 0.8844
H 0.0558 0.7609 0.1275
H 0.2998 0.5429 0.8575
Ba 0.7219 0.4286 0.1277
Ba 0.3615 0.9047 0.3723

---

Record 5
ReAsAu2: optimized geometry, PBE.

Summary:
energy: -5.333 eV/atom
energy of formation: 55.98 kJ/mol of atoms
total magnetization: 0.000 μB/f.u.

Lattice parameters (Å, degrees): 4.9730 2.7497 5.4817 68.39 90.00 90.00
Fractional positions:
Au 0.0000 0.7965 0.0000
Au 0.0000 0.7035 0.5000
Re 0.5000 0.2500 0.2500
As 0.5000 0.7500 0.7500

---

Record 6
CrCoMo2H: optimized geometry, PBE.

Summary:
energy: -8.193 eV/atom
energy above the lowest structure with this stoichiometry: 23 meV per atom
total magnetization: 0.626 μB/f.u.

Lattice parameters (Å, degrees): 3.9079 3.9079 3.6908 90.00 90.00 90.00
Site moments in Bohr magnetons follow the coordinates.
Fractional positions:
Co 0.5000 0.5000 0.5000  0.48
Mo 0.5000 0.0000 0.0000  -0.02
Mo 0.0000 0.5000 0.0000  -0.02
Cr 0.0000 0.0000 0.5000  0.19
H 0.0000 0.0000 0.0000  0.00